## TaFe2Rh (GGA-PBEsol)

Data for an optimized crystal structure of TaFe2Rh.

Output
density of states at the Fermi level = 4.2 states/eV/f.u.
density = 12875 kg/m3
offset from the most stable computed form = 0.000 eV/atom

Unit cell a=3.718 b=3.718 c=3.691 alpha=90.00 beta=90.00 gamma=90.00
Positions (direct):
1 Rh 0.500 0.500 0.500
2 Fe 0.000 0.500 0.000
3 Fe 0.500 0.000 0.000
4 Ta 0.000 0.000 0.500

## TaFeRh2 (GGA-PBEsol)

Data for an optimized crystal structure of TaFeRh2.

Output
density of states at the Fermi level = 3.5 states/eV/f.u.
density = 13508 kg/m3

Unit cell a=3.733 b=3.818 c=3.818 alpha=90.00 beta=90.00 gamma=90.00
Positions (direct):
1 Rh 0.000 0.000 0.500
2 Rh 0.000 0.500 0.000
3 Fe 0.500 0.000 0.000
4 Ta 0.500 0.500 0.500

## FeTc2Rh (GGA-PBEsol)

Data for an optimized crystal structure of FeTc2Rh.

Output
density of states at the Fermi level = 4.9 states/eV/f.u.
density = 11434 kg/m3
offset from the most stable computed form = 0.017 eV/atom

Unit cell a=2.618 b=4.588 c=4.588 alpha=110.77 beta=90.00 gamma=90.00
Positions (direct):
1 Fe 0.500 0.000 0.000
2 Rh 0.500 0.500 0.500
3 Tc 0.000 0.500 0.000
4 Tc 0.000 0.000 0.500

| no. | energy of formation from the pure elements (eV/atom) |
| --- | --- |
| 1 | -0.216 |
| 2 | -0.419 |
| 3 | 0.024 |